Crystalline BeSiPb2W at its relaxed geometry, computed with PBE.

Output
Formation energy (no corrections) = 1.26 eV per atom
SG = P4/mmm, No. 123

Lattice parameters (Å, degrees): 4.9101 4.5329 4.9101 90.00 90.00 90.00
Positions (direct):
Pb1 0.0000 0.0000 0.5000
Pb2 0.5000 0.0000 0.0000
Be1 0.0000 0.0000 0.0000
Si1 0.5000 0.5000 0.5000
W1 0.0000 0.5000 0.0000

Crystalline HfB2Cl at its relaxed geometry, computed with PBE.

Output
Formation energy (no corrections) = 1.09 eV per atom
Polymorph energy (0 for the lowest one) = 0 meV/atom
SG = I-42d, No. 122

Lattice parameters (Å, degrees): 5.6895 5.6895 5.3028 57.56 57.56 90.00
Positions (direct):
B1 0.5670 0.1250 0.2500
B2 0.1830 0.6250 0.2500
B3 0.3750 0.4330 0.7500
B4 0.8750 0.8170 0.7500
Hf1 0.0000 0.0000 0.0000
Hf2 0.7500 0.2500 0.5000
Cl1 0.5000 0.5000 0.0000
Cl2 0.2500 0.7500 0.5000

Crystalline La5Pr5Sb6 at its relaxed geometry, computed with PBE.

Output
Formation energy (no corrections) = -0.99 eV per atom
SG = Amm2, No. 38

Lattice parameters (Å, degrees): 6.6054 9.5018 9.5018 120.06 90.00 90.00
Positions (direct):
La1 0.7497 0.3337 0.6664
La2 0.7497 0.6664 0.3337
La3 0.2503 0.6664 0.3337
La4 0.2503 0.3337 0.6664
La5 0.0000 0.2522 0.2522
Pr1 0.0000 0.7465 0.0001
Pr2 0.0000 0.0001 0.7465
Pr3 0.5000 0.7483 0.7483
Pr4 0.5000 0.2534 0.9992
Pr5 0.5000 0.9992 0.2534
Sb1 0.0000 0.6184 0.6184
Sb2 0.0000 0.3837 0.9989
Sb3 0.0000 0.9989 0.3837
Sb4 0.5000 0.3824 0.3824
Sb5 0.5000 0.6168 0.9999
Sb6 0.5000 0.9999 0.6168

Crystalline Ce3PuTl2 at its relaxed geometry, computed with PBE.

Output
ΔH_f (0 K) = -83 meV per atom
Polymorph energy (0 for the lowest one) = 12 meV/atom
SG = C2/c, No. 15

Lattice parameters (Å, degrees): 6.5845 6.5844 9.4214 94.98 124.01 94.32
Positions (direct):
Ce1 0.7512 0.5647 0.4900
Ce2 0.2488 0.4353 0.5100
Ce3 0.5747 0.2613 0.0100
Ce4 0.8252 0.0752 0.7500
Ce5 0.4253 0.7387 0.9900
Ce6 0.1748 0.9248 0.2500
Pu1 0.8577 0.6077 0.2500
Pu2 0.1423 0.3923 0.7500
Tl1 0.7461 0.0655 0.3659
Tl2 0.2539 0.9345 0.6341
Tl3 0.8005 0.6198 0.8659
Tl4 0.1995 0.3802 0.1341

Crystalline HfScTe2 at its relaxed geometry, computed with PBE.

Output
Formation energy (no corrections) = -0.28 eV per atom
Polymorph energy (0 for the lowest one) = 420 meV/atom
SG = I-42d, No. 122

Lattice parameters (Å, degrees): 6.5048 6.5048 7.9143 65.74 65.74 90.00
Positions (direct):
Sc1 0.5000 0.5000 0.0000
Sc2 0.2500 0.7500 0.5000
Te1 0.6294 0.1250 0.2500
Te2 0.1206 0.6250 0.2500
Te3 0.3750 0.3706 0.7500
Te4 0.8750 0.8794 0.7500
Hf1 0.0000 0.0000 0.0000
Hf2 0.7500 0.2500 0.5000

Crystalline TbMg2Co at its relaxed geometry, computed with PBE.

Output
ΔH_f (0 K) = -107 meV per atom
SG = C2/c, No. 15

Lattice parameters (Å, degrees): 5.2566 5.4004 7.1159 67.70 80.64 64.63
Positions (direct):
Tb1 0.2500 0.1768 0.6464
Tb2 0.7500 0.8232 0.3536
Mg1 0.5900 0.4024 0.8242
Mg2 0.9100 0.7734 0.8242
Mg3 0.4100 0.5976 0.1758
Mg4 0.0900 0.2266 0.1758
Co1 0.2500 0.7487 0.5026
Co2 0.7500 0.2513 0.4974

Crystalline TiAgPdPt at its relaxed geometry, computed with PBE.

Output
ΔH_f (0 K) = -433 meV per atom
SG = F-43m, No. 216

Lattice parameters (Å, degrees): 4.4975 4.4975 4.4975 60.00 60.00 60.00
Positions (direct):
Pd1 0.5000 0.5000 0.5000
Ag1 0.7500 0.7500 0.7500
Pt1 0.0000 0.0000 0.0000
Ti1 0.2500 0.2500 0.2500

Crystalline Zr2B2Au at its relaxed geometry, computed with PBE.

Output
ΔH_f (0 K) = -553 meV per atom
SG = P4/mbm, No. 127

Lattice parameters (Å, degrees): 6.4657 6.4657 3.4559 90.00 90.00 90.00
Positions (direct):
B1 0.4070 0.9070 0.0000
B2 0.9070 0.5930 0.0000
B3 0.5930 0.0930 0.0000
B4 0.0930 0.4070 0.0000
Au1 0.0000 0.0000 0.0000
Au2 0.5000 0.5000 0.0000
Zr1 0.1787 0.6787 0.5000
Zr2 0.6787 0.8213 0.5000
Zr3 0.8213 0.3213 0.5000
Zr4 0.3213 0.1787 0.5000

Computed Fermi-level density of states (states/eV per atom) in order:
0.574, 0.524, 1.207, 1.975, 1.333, 0.669, 0.820, 0.682